10
Lattice="2.681 0.000 0.000 0.786 6.710 0.000 0.216 1.006 7.299" Properties=species:S:1:pos:R:3 comment="Co2Ru2F, relaxed, DFT GGA+U" e_above_lowest_polymorph_mev_per_atom=14 space_group="P1, No. 1" total_energy_ev_per_atom=-6.0590 m_tot_mub_per_cell=9.8 n_ef_per_ev_cell=8.49 crystal_system=triclinic pbc="T T T"
Co 0.000 0.000 0.000
Co 0.935 5.408 6.302
Co 1.039 2.467 3.251
Co 2.769 2.985 5.453
Ru 2.277 7.313 4.977
Ru 2.154 4.956 4.018
Ru 2.175 4.976 1.373
Ru 3.495 6.753 2.695
F 1.406 2.721 7.113
F 2.380 2.890 1.696